P.
First-principles (PBE) data for crystalline Al5Ag3 at its relaxed geometry, as listed in the Alexandria database.

As for the theoretical density: 5.6 g/cm³. The space-group type is C2/m, No. 12.

Unit cell a=5.0329 b=6.3943 c=5.0329 alpha=104.74 beta=110.17 gamma=104.74
Closest atoms and distances in Å follow each position.
Element x y z (fractional)
Al 0.1274 0.2544 0.6271  6 Al 2.81-2.91, 6 Ag 2.87-2.95
Al 0.8729 0.7456 0.3726  6 Al 2.81-2.91, 6 Ag 2.87-2.95
Al 0.7500 0.5000 0.7500  4 Ag 2.79-2.88, 8 Al 2.88-2.89
Al 0.6271 0.2544 0.1274  6 Al 2.81-2.91, 6 Ag 2.87-2.95
Al 0.3726 0.7456 0.8729  6 Al 2.81-2.91, 6 Ag 2.87-2.95
Ag 0.2500 0.5000 0.2500  10 Al 2.88-2.89, 2 Ag 2.94
Ag 0.5060 0.0125 0.5060  9 Al 2.79-2.95, 3 Ag 2.88-2.94
Ag 0.9940 0.9875 0.9940  9 Al 2.79-2.95, 3 Ag 2.88-2.94



Q.
First-principles (PBE) data for crystalline Al5Ag3 at its relaxed geometry, as listed in the Alexandria database.

As for the theoretical density: 5.6 g/cm³. The space-group type is P2/m, No. 10.

Unit cell a=6.7677 b=2.9107 c=7.2387 alpha=90.00 beta=108.69 gamma=90.00
Closest atoms and distances in Å follow each position.
Element x y z (fractional)
Ag 0.2577 0.0000 0.7542  7 Al 2.77-2.93, 5 Ag 2.88-2.98
Ag 0.1250 0.5000 0.3750  6 Al 2.82-2.84, 6 Ag 2.91-2.98
Ag 0.9923 0.0000 0.9958  7 Al 2.77-2.93, 5 Ag 2.88-2.98
Al 0.8764 0.5000 0.6249  7 Al 2.81-2.96, 5 Ag 2.84-2.93
Al 0.5014 0.0000 0.5008  9 Al 2.81-2.96, 3 Ag 2.82-2.83
Al 0.3736 0.5000 0.1251  7 Al 2.81-2.96, 5 Ag 2.84-2.93
Al 0.6250 0.5000 0.8750  4 Ag 2.77, 8 Al 2.85-2.95
Al 0.7486 0.0000 0.2492  9 Al 2.81-2.96, 3 Ag 2.82-2.83



Energies relative to the minimum, meV per atom: P 44; Q 0



P.
First-principles (PBE) data for crystalline Al5Ag3 at its relaxed geometry, as listed in the Alexandria database.

As for the theoretical density: 5.6 g/cm³. The space-group type is Pmmm, No. 47.

Unit cell a=4.0455 b=8.2934 c=4.0544 alpha=90.00 beta=90.00 gamma=90.00
Closest atoms and distances in Å follow each position.
Element x y z (fractional)
Ag 0.0000 0.2500 0.5000  8 Al 2.86-2.90, 4 Ag 2.92
Ag 0.0000 0.5034 0.0000  10 Al 2.86-2.92, 2 Ag 2.92
Ag 0.0000 0.9966 0.0000  10 Al 2.86-2.92, 2 Ag 2.92
Al 0.5000 0.9997 0.5000  6 Ag 2.86-2.90, 6 Al 2.89-2.90
Al 0.5000 0.5003 0.5000  6 Ag 2.86-2.90, 6 Al 2.89-2.90
Al 0.0000 0.7500 0.5000  8 Al 2.86-2.89, 4 Ag 2.88
Al 0.5000 0.7500 0.0000  8 Al 2.86-2.90, 4 Ag 2.88
Al 0.5000 0.2500 0.0000  8 Ag 2.86-2.92, 4 Al 2.90



Q.
First-principles (PBE) data for crystalline Al5Ag3 at its relaxed geometry, as listed in the Alexandria database.

As for the theoretical density: 5.6 g/cm³. The space-group type is Immm, No. 71.

Unit cell a=4.0670 b=8.7322 c=4.0537 alpha=103.42 beta=90.00 gamma=103.47
Closest atoms and distances in Å follow each position.
Element x y z (fractional)
Al 0.5022 0.0044 0.5022  6 Ag 2.87, 6 Al 2.87-2.93
Al 0.1250 0.2500 0.6250  4 Al 2.87, 8 Ag 2.87-2.94
Al 0.7478 0.4956 0.7478  6 Ag 2.87, 6 Al 2.87-2.93
Al 0.3742 0.7485 0.8742  4 Ag 2.83-2.85, 8 Al 2.87-2.93
Al 0.8758 0.7515 0.3758  4 Ag 2.83-2.85, 8 Al 2.87-2.93
Ag 0.6250 0.2500 0.1250  8 Al 2.87, 4 Ag 2.95
Ag 0.9956 0.9912 0.9956  10 Al 2.83-2.94, 2 Ag 2.95
Ag 0.2544 0.5088 0.2544  10 Al 2.83-2.94, 2 Ag 2.95



Energies relative to the minimum, meV per atom: P 7; Q 0